1.
Here is a relaxed HoThCd3 crystal from Alexandria. Energies are from PBE.

Cell lengths 5.024, 3.440, 15.075 Å; angles 96.55, 90.00, 90.00 degrees
Element x y z (fractional)
Ho 0.250 0.784 0.568
Ho 0.750 0.216 0.432
Th 0.250 0.075 0.151
Th 0.750 0.925 0.849
Cd 0.250 0.376 0.753
Cd 0.750 0.624 0.247
Cd 0.250 0.476 0.951
Cd 0.750 0.524 0.049
Cd 0.750 0.322 0.645
Cd 0.250 0.678 0.355

SG: Cmcm (63)



2.
Here is a relaxed HoThCd14 crystal from Alexandria. Energies are from PBE.

Cell lengths 6.663, 6.663, 8.503 Å; angles 90.00, 90.00, 90.00 degrees
Element x y z (fractional)
Ho 0.375 0.375 0.500
Th 0.875 0.875 0.500
Cd 0.875 0.875 0.000
Cd 0.375 0.375 0.000
Cd 0.875 0.375 0.500
Cd 0.875 0.375 0.000
Cd 0.375 0.875 0.500
Cd 0.375 0.875 0.000
Cd 0.620 0.130 0.238
Cd 0.620 0.130 0.762
Cd 0.130 0.620 0.238
Cd 0.130 0.620 0.762
Cd 0.620 0.620 0.238
Cd 0.620 0.620 0.762
Cd 0.130 0.130 0.238
Cd 0.130 0.130 0.762

SG: P4/mmm (123)



3.
Here is a relaxed HoThCd crystal from Alexandria. Energies are from PBE.

Cell lengths 5.881, 5.881, 6.643 Å; angles 102.07, 102.07, 121.85 degrees
Element x y z (fractional)
Th 0.668 0.332 0.000
Th 0.332 0.668 0.000
Ho 0.861 0.861 0.722
Ho 0.139 0.139 0.278
Cd 0.750 0.250 0.500
Cd 0.250 0.750 0.500

E above lowest polymorph (eV/atom): 0.027
SG: Fmmm (69)



4.
Here is a relaxed HoTh3Cd7 crystal from Alexandria. Energies are from PBE.

Cell lengths 3.376, 11.320, 15.550 Å; angles 90.00, 90.00, 98.58 degrees
Element x y z (fractional)
Ho 0.976 0.951 0.250
Ho 0.024 0.049 0.750
Th 0.117 0.235 0.455
Th 0.883 0.765 0.545
Th 0.252 0.505 0.750
Th 0.748 0.495 0.250
Th 0.117 0.235 0.045
Th 0.883 0.765 0.955
Cd 0.399 0.799 0.750
Cd 0.601 0.201 0.250
Cd 0.491 0.982 0.413
Cd 0.509 0.018 0.587
Cd 0.509 0.018 0.913
Cd 0.491 0.982 0.087
Cd 0.371 0.743 0.343
Cd 0.629 0.257 0.657
Cd 0.263 0.527 0.429
Cd 0.737 0.473 0.571
Cd 0.737 0.473 0.929
Cd 0.263 0.527 0.071
Cd 0.371 0.743 0.157
Cd 0.629 0.257 0.843

SG: Cmcm (63)



5.
Here is a relaxed Ho2ThCd6 crystal from Alexandria. Energies are from PBE.

Cell lengths 3.405, 8.700, 8.700 Å; angles 120.00, 90.00, 90.00 degrees
Element x y z (fractional)
Ho 0.000 0.333 0.667
Ho 0.000 0.667 0.333
Th 0.000 0.000 0.000
Cd 0.500 0.337 0.337
Cd 0.500 0.663 0.663
Cd 0.500 0.000 0.663
Cd 0.500 0.663 0.000
Cd 0.500 0.337 0.000
Cd 0.500 0.000 0.337

SG: P6/mmm (191)



6.
Here is a relaxed HoThCd2 crystal from Alexandria. Energies are from PBE.

Cell lengths 3.480, 3.480, 10.813 Å; angles 80.74, 80.74, 60.00 degrees
Element x y z (fractional)
Ho 0.000 0.000 0.000
Th 0.500 0.500 0.500
Cd 0.746 0.746 0.761
Cd 0.254 0.254 0.239

E above lowest polymorph (eV/atom): 0.133
SG: R-3m (166)



7.
Here is a relaxed HoThCd5 crystal from Alexandria. Energies are from PBE.

Cell lengths 5.167, 5.167, 7.026 Å; angles 90.00, 90.00, 90.00 degrees
Element x y z (fractional)
Ho 0.500 0.500 0.000
Th 0.000 0.000 0.500
Cd 0.000 0.500 0.774
Cd 0.000 0.500 0.226
Cd 0.500 0.000 0.774
Cd 0.500 0.000 0.226
Cd 0.500 0.500 0.500

SG: P4/mmm (123)



8.
Here is a relaxed Ho2ThCd3 crystal from Alexandria. Energies are from PBE.

Cell lengths 3.583, 3.583, 12.393 Å; angles 90.00, 90.00, 90.00 degrees
Element x y z (fractional)
Ho 0.500 0.500 0.840
Ho 0.500 0.500 0.160
Th 0.500 0.500 0.500
Cd 0.000 0.000 0.000
Cd 0.000 0.000 0.683
Cd 0.000 0.000 0.317

SG: P4/mmm (123)



9.
Here is a relaxed HoThCd crystal from Alexandria. Energies are from PBE.

Cell lengths 3.578, 5.315, 5.315 Å; angles 120.00, 90.00, 90.00 degrees
Element x y z (fractional)
Ho 0.552 0.333 0.667
Th 0.017 0.000 0.000
Cd 0.431 0.667 0.333

E above lowest polymorph (eV/atom): 0.163
SG: P3m1 (156)



10.
Here is a relaxed HoThCd2 crystal from Alexandria. Energies are from PBE.

Cell lengths 5.368, 5.368, 5.368 Å; angles 60.00, 60.00, 60.00 degrees
Element x y z (fractional)
Ho 0.000 0.000 0.000
Th 0.500 0.500 0.500
Cd 0.250 0.250 0.250
Cd 0.750 0.750 0.750

E above lowest polymorph (eV/atom): 0.034
SG: Fm-3m (225)



11.
Here is a relaxed HoTh2Cd6 crystal from Alexandria. Energies are from PBE.

Cell lengths 3.383, 8.808, 8.808 Å; angles 60.05, 89.98, 89.98 degrees
Element x y z (fractional)
Ho 0.000 0.000 0.000
Th 0.000 0.333 0.333
Th 0.000 0.667 0.667
Cd 0.499 0.671 0.000
Cd 0.501 0.000 0.329
Cd 0.501 0.329 0.000
Cd 0.500 0.671 0.329
Cd 0.499 0.000 0.671
Cd 0.500 0.329 0.671

SG: Cmmm (65)



12.
Here is a relaxed Ho5ThCd6 crystal from Alexandria. Energies are from PBE.

Cell lengths 5.252, 7.633, 9.143 Å; angles 114.67, 106.71, 90.00 degrees
Element x y z (fractional)
Ho 0.662 0.162 0.323
Ho 0.331 0.331 0.662
Ho 0.000 0.500 0.000
Ho 0.669 0.669 0.338
Ho 0.338 0.838 0.677
Th 0.000 0.000 0.000
Cd 0.830 0.570 0.659
Cd 0.830 0.089 0.659
Cd 0.500 0.733 0.000
Cd 0.500 0.267 0.000
Cd 0.170 0.911 0.341
Cd 0.170 0.430 0.341

SG: Immm (71)



Computed ΔE_f (eV per atom) in order:
-0.208, -0.089, -0.096, -0.068, -0.266, -0.063, -0.004, -0.232, 0.041, -0.161, -0.221, -0.263